# Mg4ZnHg5 PBE optimized geometry
# - Fermi-level density of states: 2.8 states/eV/cell
# - Calculated formation energy: -0.151 eV per atom
# - Crystal system: tetragonal
data_Mg4ZnHg5
_chemical_formula_sum 'Mg4 Zn1 Hg5'
_cell_length_a 3.511
_cell_length_b 3.511
_cell_length_c 17.155
_cell_angle_alpha 90.00
_cell_angle_beta 90.00
_cell_angle_gamma 90.00
_space_group_name_H-M_alt 'P 4/m m m'
_space_group_IT_number 123
_space_group_name_Hall '-P 4 2'
loop_
_atom_site_label
_atom_site_type_symbol
_atom_site_fract_x
_atom_site_fract_y
_atom_site_fract_z
Mg1 Mg 0.000 0.000 0.100
Mg2 Mg 0.000 0.000 0.306
Zn1 Zn 0.000 0.000 0.500
Hg1 Hg 0.500 0.500 0.000
Hg2 Hg 0.500 0.500 0.203
Hg3 Hg 0.500 0.500 0.406

# Mg5ZnHg2 PBE optimized geometry
# - Fermi-level density of states: 10.8 states/eV/cell
# - Calculated formation energy: -0.088 eV per atom
# - Crystal system: hexagonal
data_Mg5ZnHg2
_chemical_formula_sum 'Mg10 Zn2 Hg4'
_cell_length_a 4.7711
_cell_length_b 4.7711
_cell_length_c 18.0776
_cell_angle_alpha 90.00
_cell_angle_beta 90.00
_cell_angle_gamma 120.00
_space_group_name_H-M_alt 'P 63/m m c'
_space_group_IT_number 194
_space_group_name_Hall '-P 6c 2c'
loop_
_atom_site_label
_atom_site_type_symbol
_atom_site_fract_x
_atom_site_fract_y
_atom_site_fract_z
Mg1 Mg 0.0000 0.0000 0.1597
Mg2 Mg 0.3333 0.6667 0.0550
Mg3 Mg 0.3333 0.6667 0.2500
Zn1 Zn 0.3333 0.6667 0.7500
Hg1 Hg 0.3333 0.6667 0.6001

# Mg2ZnHg PBE optimized geometry
# - Energy above the lowest structure with this stoichiometry: 0.012 eV per atom
# - Fermi-level density of states: 5.5 states/eV/cell
# - Calculated formation energy: -0.138 eV per atom
# - Crystal system: cubic
data_Mg2ZnHg
_chemical_formula_sum 'Mg8 Zn4 Hg4'
_cell_length_a 6.803
_cell_length_b 6.803
_cell_length_c 6.803
_cell_angle_alpha 90.00
_cell_angle_beta 90.00
_cell_angle_gamma 90.00
_space_group_name_H-M_alt 'F m -3 m'
_space_group_IT_number 225
_space_group_name_Hall '-F 4 2 3'
loop_
_atom_site_label
_atom_site_type_symbol
_atom_site_fract_x
_atom_site_fract_y
_atom_site_fract_z
Mg1 Mg 0.250 0.250 0.250
Zn1 Zn 0.000 0.000 0.000
Hg1 Hg 0.000 0.000 0.500

# Mg2ZnHg PBE optimized geometry
# - Energy above the lowest structure with this stoichiometry: 0.022 eV per atom
# - Fermi-level density of states: 2.3 states/eV/cell
# - Calculated formation energy: -0.128 eV per atom
# - Crystal system: triclinic
data_Mg2ZnHg
_chemical_formula_sum 'Mg4 Zn2 Hg2'
_cell_length_a 4.482
_cell_length_b 5.484
_cell_length_c 7.506
_cell_angle_alpha 104.03
_cell_angle_beta 90.07
_cell_angle_gamma 113.63
_space_group_name_H-M_alt 'P -1'
_space_group_IT_number 2
loop_
_space_group_symop_operation_xyz
'x,y,z'
'-x,-y,-z'
loop_
_atom_site_label
_atom_site_type_symbol
_atom_site_fract_x
_atom_site_fract_y
_atom_site_fract_z
Mg1 Mg 0.000 0.000 0.000
Mg2 Mg 0.000 0.000 0.500
Mg3 Mg 0.263 0.526 0.331
Zn1 Zn 0.296 0.591 0.966
Hg1 Hg 0.447 0.897 0.714

# Mg2ZnHg PBE optimized geometry
# - Energy above the lowest structure with this stoichiometry: 0.004 eV per atom
# - Fermi-level density of states: 1.0 states/eV/cell
# - Calculated formation energy: -0.147 eV per atom
# - Crystal system: monoclinic
data_Mg2ZnHg
_chemical_formula_sum 'Mg2 Zn1 Hg1'
_cell_length_a 3.295
_cell_length_b 3.579
_cell_length_c 6.702
_cell_angle_alpha 90.00
_cell_angle_beta 90.72
_cell_angle_gamma 90.00
_space_group_name_H-M_alt 'P 1 2/m 1'
_space_group_IT_number 10
loop_
_space_group_symop_operation_xyz
'x,y,z'
'-x,-y,-z'
'-x,y,-z'
'x,-y,z'
loop_
_atom_site_label
_atom_site_type_symbol
_atom_site_fract_x
_atom_site_fract_y
_atom_site_fract_z
Mg1 Mg 0.000 0.000 0.239
Zn1 Zn 0.500 0.500 0.000
Hg1 Hg 0.500 0.500 0.500

# Mg2ZnHg2 PBE optimized geometry
# - Energy above the lowest structure with this stoichiometry: 0.000 eV per atom
# - Fermi-level density of states: 6.7 states/eV/cell
# - Calculated formation energy: -0.100 eV per atom
# - Crystal system: orthorhombic
data_Mg2ZnHg2
_chemical_formula_sum 'Mg8 Zn4 Hg8'
_cell_length_a 4.619
_cell_length_b 14.655
_cell_length_c 6.319
_cell_angle_alpha 90.00
_cell_angle_beta 90.00
_cell_angle_gamma 90.00
_space_group_name_H-M_alt 'C m c 21'
_space_group_IT_number 36
loop_
_space_group_symop_operation_xyz
'x,y,z'
'-x,-y,z+1/2'
'-x,y,z'
'x,-y,z+1/2'
'x+1/2,y+1/2,z'
'-x+1/2,-y+1/2,z+1/2'
'-x+1/2,y+1/2,z'
'x+1/2,-y+1/2,z+1/2'
loop_
_atom_site_label
_atom_site_type_symbol
_atom_site_fract_x
_atom_site_fract_y
_atom_site_fract_z
Mg1 Mg 0.000 0.002 0.000
Mg2 Mg 0.000 0.201 0.316
Zn1 Zn 0.000 0.394 0.176
Hg1 Hg 0.000 0.184 0.808
Hg2 Hg 0.000 0.415 0.726

# MgZn3Hg3 PBE optimized geometry
# - Fermi-level density of states: 6.6 states/eV/cell
# - Calculated formation energy: 0.362 eV per atom
# - Crystal system: cubic
data_MgZn3Hg3
_chemical_formula_sum 'Mg2 Zn6 Hg6'
_cell_length_a 7.498
_cell_length_b 7.498
_cell_length_c 7.498
_cell_angle_alpha 90.00
_cell_angle_beta 90.00
_cell_angle_gamma 90.00
_space_group_name_H-M_alt 'P m -3 n'
_space_group_IT_number 223
_space_group_name_Hall '-P 4n 2 3'
loop_
_atom_site_label
_atom_site_type_symbol
_atom_site_fract_x
_atom_site_fract_y
_atom_site_fract_z
Mg1 Mg 0.000 0.000 0.000
Zn1 Zn 0.000 0.250 0.500
Hg1 Hg 0.000 0.500 0.250

# Mg8ZnHg2 PBE optimized geometry
# - Energy above the lowest structure with this stoichiometry: 0.000 eV per atom
# - Fermi-level density of states: 6.8 states/eV/cell
# - Calculated formation energy: -0.109 eV per atom
# - Crystal system: monoclinic
data_Mg8ZnHg2
_chemical_formula_sum 'Mg16 Zn2 Hg4'
_cell_length_a 16.113
_cell_length_b 4.773
_cell_length_c 6.655
_cell_angle_alpha 90.00
_cell_angle_beta 112.59
_cell_angle_gamma 90.00
_space_group_name_H-M_alt 'C 1 2/m 1'
_space_group_IT_number 12
loop_
_space_group_symop_operation_xyz
'x,y,z'
'-x,-y,-z'
'-x,y,-z'
'x,-y,z'
'x+1/2,y+1/2,z'
'-x+1/2,-y+1/2,-z'
'-x+1/2,y+1/2,-z'
'x+1/2,-y+1/2,z'
loop_
_atom_site_label
_atom_site_type_symbol
_atom_site_fract_x
_atom_site_fract_y
_atom_site_fract_z
Mg1 Mg 0.019 0.000 0.278
Mg2 Mg 0.101 0.500 0.936
Mg3 Mg 0.160 0.500 0.433
Mg4 Mg 0.188 0.000 0.758
Zn1 Zn 0.000 0.500 0.500
Hg1 Hg 0.180 0.000 0.182

# MgZnHg PBE optimized geometry
# - Energy above the lowest structure with this stoichiometry: 0.015 eV per atom
# - Fermi-level density of states: 9.6 states/eV/cell
# - Calculated formation energy: -0.077 eV per atom
# - Crystal system: orthorhombic
data_MgZnHg
_chemical_formula_sum 'Mg12 Zn12 Hg12'
_cell_length_a 8.763
_cell_length_b 12.124
_cell_length_c 6.853
_cell_angle_alpha 90.00
_cell_angle_beta 90.00
_cell_angle_gamma 90.00
_space_group_name_H-M_alt 'I m a 2'
_space_group_IT_number 46
loop_
_space_group_symop_operation_xyz
'x,y,z'
'-x,-y,z'
'-x+1/2,y,z'
'x+1/2,-y,z'
'x+1/2,y+1/2,z+1/2'
'-x+1/2,-y+1/2,z+1/2'
'-x,y+1/2,z+1/2'
'x,-y+1/2,z+1/2'
loop_
_atom_site_label
_atom_site_type_symbol
_atom_site_fract_x
_atom_site_fract_y
_atom_site_fract_z
Mg1 Mg 0.250 0.004 0.000
Mg2 Mg 0.250 0.240 0.696
Mg3 Mg 0.250 0.701 0.151
Zn1 Zn 0.000 0.000 0.677
Zn2 Zn 0.047 0.617 0.834
Hg1 Hg 0.005 0.666 0.448
Hg2 Hg 0.250 0.050 0.435

# MgZnHg2 PBE optimized geometry
# - Fermi-level density of states: 1.4 states/eV/cell
# - Calculated formation energy: -0.005 eV per atom
# - Crystal system: tetragonal
data_MgZnHg2
_chemical_formula_sum 'Mg1 Zn1 Hg2'
_cell_length_a 3.215
_cell_length_b 3.215
_cell_length_c 8.248
_cell_angle_alpha 90.00
_cell_angle_beta 90.00
_cell_angle_gamma 90.00
_space_group_name_H-M_alt 'P 4 m m'
_space_group_IT_number 99
loop_
_space_group_symop_operation_xyz
'x,y,z'
'-y,x,z'
'-x,-y,z'
'y,-x,z'
'-x,y,z'
'y,x,z'
'x,-y,z'
'-y,-x,z'
loop_
_atom_site_label
_atom_site_type_symbol
_atom_site_fract_x
_atom_site_fract_y
_atom_site_fract_z
Mg1 Mg 0.000 0.000 0.000
Zn1 Zn 0.500 0.500 0.219
Hg1 Hg 0.000 0.000 0.452
Hg2 Hg 0.500 0.500 0.751

Q: Look up the Fermi-level density of states of the ninth one.
A: 9.6 states/eV/cell

Q: The highest calculated formation energy belongs to which entry?
A: MgZn3Hg3

Q: Which of these has the lowest calculated formation energy?
A: Mg4ZnHg5